Material: LiFe2P2O8
Method: DFT, meta-GGA SCAN
State: PBEsol geometry

Cell lengths 4.764, 4.995, 5.740 Å; angles 85.93, 70.89, 77.09 degrees
Fractional coordinates of all 13 atoms:
O 0.741 0.690 0.974
O 0.292 0.876 0.315
Li 0.336 0.654 0.025
P 0.655 0.829 0.224
O 0.756 0.100 0.209
Fe 0.995 0.230 0.364
O 0.246 0.317 0.026
O 0.697 0.152 0.669
Fe 0.986 0.780 0.633
O 0.258 0.905 0.786
O 0.786 0.624 0.402
P 0.339 0.187 0.769
O 0.199 0.369 0.584

Calculated values
The crystal system is triclinic. Its spin magnetization is 5.00 Bohr magnetons per cell. As for the density: 4.07 Mg/m³. The calculation puts the formation energy (no corrections) at -2.17 eV/atom.